Record 1
The following is a DFT calculation (PBE-GGA) of a relaxed structure of TeOsPb2.

a = 3.254 Å, b = 3.254 Å, c = 9.797 Å
α = 90.00°, β = 90.00°, γ = 90.00°
Atoms (fractional coordinates):
Te  0.000  0.000  0.000
Os  0.500  0.500  0.145
Pb  0.000  0.000  0.370
Pb  0.500  0.500  0.670

- Formation energy without anion corrections: 383 meV per atom
- DFT total energy: -20.25 eV for the cell shown
- Magnetic moment: 0.00 μB per formula unit



Record 2
The following is a DFT calculation (PBE-GGA) of a relaxed structure of La2Pt2I.

a = 8.315 Å, b = 8.315 Å, c = 3.814 Å
α = 90.00°, β = 90.00°, γ = 90.00°
Atoms (fractional coordinates):
La  0.168  0.332  0.000
La  0.332  0.832  0.000
La  0.668  0.168  0.000
La  0.832  0.668  0.000
Pt  0.123  0.623  0.500
Pt  0.377  0.123  0.500
Pt  0.623  0.877  0.500
Pt  0.877  0.377  0.500
I  0.000  0.000  0.500
I  0.500  0.500  0.500

- Formation energy without anion corrections: -1105 meV per atom
- DFT total energy: -58.02 eV for the cell shown
- Magnetic moment: 0.00 μB per formula unit



Record 3
The following is a DFT calculation (PBE-GGA) of a relaxed structure of BaAcTl5.

a = 5.624 Å, b = 5.624 Å, c = 8.069 Å
α = 90.00°, β = 90.00°, γ = 90.00°
Atoms (fractional coordinates):
Ba  0.000  0.000  0.000
Ac  0.500  0.500  0.500
Tl  0.000  0.500  0.267
Tl  0.000  0.500  0.733
Tl  0.500  0.000  0.267
Tl  0.500  0.000  0.733
Tl  0.500  0.500  0.000

- E_form: -0.15 eV per atom
- DFT total energy: -18.92 eV for the cell shown
- Magnetic moment: 0.00 μB per formula unit